# 1
Eu2HoAu: optimized geometry, PBE-GGA.

Computed properties:
Total moment (μB per atom): 3.76
Energy of formation from the pure elements (eV/atom): -0.314

Lattice parameters (Å, degrees): 3.743 3.743 8.946 90.00 90.00 90.00
Atoms (fractional coordinates):
Eu  0.000  0.000  0.798
Eu  0.000  0.000  0.202
Au  0.500  0.500  0.000
Ho  0.500  0.500  0.500

# 2
LiCe3Ge6Pd2: optimized geometry, PBE-GGA.

Computed properties:
Total moment (μB per atom): 0.11
Energy of formation from the pure elements (eV/atom): -0.476

Lattice parameters (Å, degrees): 6.001 6.001 7.934 90.00 90.00 120.00
Atoms (fractional coordinates):
Li  0.000  0.000  0.500
Ce  0.333  0.667  0.637
Ce  0.667  0.333  0.363
Ce  0.000  0.000  0.000
Ge  0.627  0.813  0.294
Ge  0.187  0.373  0.294
Ge  0.187  0.813  0.294
Ge  0.813  0.627  0.706
Ge  0.373  0.187  0.706
Ge  0.813  0.187  0.706
Pd  0.667  0.333  0.972
Pd  0.333  0.667  0.028

# 3
K2LiV: optimized geometry, PBE-GGA.

Computed properties:
Total moment (μB per atom): 1.15
Energy of formation from the pure elements (eV/atom): 0.994

Lattice parameters (Å, degrees): 9.587 9.587 7.571 50.72 50.72 90.00
Atoms (fractional coordinates):
K  0.614  0.125  0.250
K  0.136  0.625  0.250
K  0.375  0.386  0.750
K  0.875  0.864  0.750
V  0.000  0.000  0.000
V  0.750  0.250  0.500
Li  0.500  0.500  0.000
Li  0.250  0.750  0.500

# 4
LaCe2Si: optimized geometry, PBE-GGA.

Computed properties:
Uncorrected formation energy (eV/atom): -0.39
Total moment (μB per atom): 0.06

Lattice parameters (Å, degrees): 4.347 4.416 11.300 100.58 90.00 90.00
Atoms (fractional coordinates):
La  0.250  0.297  0.605
La  0.750  0.703  0.395
Ce  0.750  0.394  0.877
Ce  0.250  0.606  0.123
Ce  0.250  0.987  0.877
Ce  0.750  0.013  0.123
Si  0.750  0.822  0.683
Si  0.250  0.178  0.317

# 5
K2TlSn2Cl7: optimized geometry, PBE-GGA.

Computed properties:
Uncorrected formation energy (eV/atom): -1.29
Total moment (μB per atom): 0.00

Lattice parameters (Å, degrees): 5.607 5.607 13.888 79.01 79.01 90.43
Atoms (fractional coordinates):
K  0.752  0.752  0.359
K  0.248  0.248  0.641
Tl  0.000  0.000  0.000
Sn  0.641  0.641  0.788
Sn  0.359  0.359  0.212
Cl  0.500  0.500  0.000
Cl  0.317  0.317  0.413
Cl  0.683  0.683  0.587
Cl  0.853  0.319  0.206
Cl  0.319  0.853  0.206
Cl  0.681  0.147  0.794
Cl  0.147  0.681  0.794

# 6
Tb4Ho2Tm: optimized geometry, PBE-GGA.

Computed properties:
Total moment (μB per atom): 0.00
Energy of formation from the pure elements (eV/atom): 0.137

Lattice parameters (Å, degrees): 6.109 6.508 11.430 90.00 104.75 90.00
Atoms (fractional coordinates):
Tb  0.654  0.507  0.287
Tb  0.035  0.750  0.863
Tb  0.965  0.250  0.137
Tb  0.654  0.993  0.287
Tb  0.850  0.250  0.553
Tb  0.346  0.007  0.713
Tb  0.346  0.493  0.713
Tb  0.150  0.750  0.447
Ho  0.608  0.750  0.995
Ho  0.392  0.250  0.005
Ho  0.287  0.250  0.423
Ho  0.713  0.750  0.577
Tm  0.154  0.750  0.163
Tm  0.846  0.250  0.837

# 7
LiSe: optimized geometry, PBE-GGA.

Computed properties:
Uncorrected formation energy (eV/atom): -0.59
Total moment (μB per atom): 0.00

Lattice parameters (Å, degrees): 5.284 5.284 5.284 90.00 90.00 90.00
Atoms (fractional coordinates):
Li  0.000  0.000  0.000
Li  0.000  0.500  0.500
Li  0.500  0.000  0.500
Li  0.500  0.500  0.000
Se  0.500  0.500  0.500
Se  0.500  0.000  0.000
Se  0.000  0.500  0.000
Se  0.000  0.000  0.500

# 8
CaHo: optimized geometry, PBE-GGA.

Computed properties:
Total moment (μB per atom): 0.00
Energy of formation from the pure elements (eV/atom): 0.201

Lattice parameters (Å, degrees): 4.119 4.119 4.119 90.00 90.00 90.00
Atoms (fractional coordinates):
Ca  0.500  0.500  0.500
Ho  0.000  0.000  0.000

Let's list calculated density in order: 8.82; 7.22; 1.46; 6.97; 3.03; 8.57; 3.87; 4.87 g/cm³.
Let's list electronic total energy in order: -29.7; -63.5; -9.3; -23.8; -41.0; -31.2; -6.6; -6.2 eV/f.u..